Entry 1:
Crystalline NaPaCl6 at its relaxed geometry, computed with GGA-PBE.

Geometry as CIF:
```
data_NaPaCl6
_space_group_name_H-M_alt 'C 1 2/m 1'
_space_group_IT_number 12
_cell_length_a 6.8638
_cell_length_b 12.3869
_cell_length_c 6.7974
_cell_angle_alpha 90.00
_cell_angle_beta 106.19
_cell_angle_gamma 90.00
loop_
_space_group_symop_operation_xyz
'x,y,z'
'-x,-y,-z'
'-x,y,-z'
'x,-y,z'
'x+1/2,y+1/2,z'
'-x+1/2,-y+1/2,-z'
'-x+1/2,y+1/2,-z'
'x+1/2,-y+1/2,z'
loop_
_atom_site_label
_atom_site_fract_x
_atom_site_fract_y
_atom_site_fract_z
Na1 0.0000 0.0000 0.0000
Pa1 0.0000 0.5000 0.5000
Cl1 0.2208 0.3561 0.7295
Cl2 0.2389 0.5000 0.2711
```

## Properties
Crystal system: monoclinic
E_tot, eV/atom: -4.60
Energy above the most stable polymorph in this dataset, meV/atom: 0.0

Entry 2:
Crystalline NaPaCl6 at its relaxed geometry, computed with GGA-PBE.

Geometry as CIF:
```
data_NaPaCl6
_space_group_name_H-M_alt 'F m -3 m'
_space_group_IT_number 225
_space_group_name_Hall '-F 4 2 3'
_cell_length_a 10.8444
_cell_length_b 10.8444
_cell_length_c 10.8444
_cell_angle_alpha 90.00
_cell_angle_beta 90.00
_cell_angle_gamma 90.00
loop_
_atom_site_label
_atom_site_fract_x
_atom_site_fract_y
_atom_site_fract_z
Na1 0.0000 0.0000 0.0000
Pa1 0.0000 0.0000 0.5000
Cl1 0.0000 0.0000 0.2642
```

## Properties
Crystal system: cubic
E_tot, eV/atom: -4.59
Energy above the most stable polymorph in this dataset, meV/atom: 8.9

Entry 3:
Crystalline Na3PaCl7 at its relaxed geometry, computed with GGA-PBE.

Geometry as CIF:
```
data_Na3PaCl7
_space_group_name_H-M_alt 'C 1 m 1'
_space_group_IT_number 8
_cell_length_a 9.2120
_cell_length_b 10.4655
_cell_length_c 7.4710
_cell_angle_alpha 90.00
_cell_angle_beta 119.79
_cell_angle_gamma 90.00
loop_
_space_group_symop_operation_xyz
'x,y,z'
'x,-y,z'
'x+1/2,y+1/2,z'
'x+1/2,-y+1/2,z'
loop_
_atom_site_label
_atom_site_fract_x
_atom_site_fract_y
_atom_site_fract_z
Na1 0.0000 0.0000 0.0000
Na2 0.0521 0.2631 0.6234
Pa1 0.4865 0.0000 0.0793
Cl1 0.1459 0.0000 0.7566
Cl2 0.1607 0.5000 0.8769
Cl3 0.1999 0.3374 0.3718
Cl4 0.3340 0.0000 0.3062
Cl5 0.4116 0.2398 0.8948
```

## Properties
Crystal system: monoclinic
E_tot, eV/atom: -4.22

Entry 4:
Crystalline Na2PaPbCl8 at its relaxed geometry, computed with GGA-PBE.

Geometry as CIF:
```
data_Na2PaPbCl8
_space_group_name_H-M_alt 'P 1 2/m 1'
_space_group_IT_number 10
_cell_length_a 6.5499
_cell_length_b 8.6666
_cell_length_c 6.7021
_cell_angle_alpha 90.00
_cell_angle_beta 93.01
_cell_angle_gamma 90.00
loop_
_space_group_symop_operation_xyz
'x,y,z'
'-x,-y,-z'
'-x,y,-z'
'x,-y,z'
loop_
_atom_site_label
_atom_site_fract_x
_atom_site_fract_y
_atom_site_fract_z
Na1 0.0000 0.2380 0.0000
Pa1 0.5000 0.5000 0.5000
Pb1 0.5000 0.0000 0.5000
Cl1 0.2109 0.0000 0.1788
Cl2 0.2254 0.5000 0.1951
Cl3 0.2929 0.2756 0.6726
```

## Properties
Crystal system: monoclinic
E_tot, eV/atom: -4.22

Entry 5:
Crystalline RbNaPaCl6 at its relaxed geometry, computed with GGA-PBE.

Geometry as CIF:
```
data_RbNaPaCl6
_space_group_name_H-M_alt 'P -3 1 c'
_space_group_IT_number 163
_space_group_name_Hall '-P 3 2c'
_cell_length_a 7.2510
_cell_length_b 7.2510
_cell_length_c 14.2932
_cell_angle_alpha 90.00
_cell_angle_beta 90.00
_cell_angle_gamma 120.00
loop_
_atom_site_label
_atom_site_fract_x
_atom_site_fract_y
_atom_site_fract_z
Rb1 0.0000 0.0000 0.0000
Na1 0.3333 0.6667 0.2500
Pa1 0.3333 0.6667 0.7500
Cl1 0.0208 0.3785 0.6434
```

## Properties
Crystal system: trigonal
E_tot, eV/atom: -4.49

Entry 6:
Crystalline Na2PaSnCl8 at its relaxed geometry, computed with GGA-PBE.

Geometry as CIF:
```
data_Na2PaSnCl8
_space_group_name_H-M_alt 'P 1 2/m 1'
_space_group_IT_number 10
_cell_length_a 6.5739
_cell_length_b 8.6223
_cell_length_c 6.6341
_cell_angle_alpha 90.00
_cell_angle_beta 93.35
_cell_angle_gamma 90.00
loop_
_space_group_symop_operation_xyz
'x,y,z'
'-x,-y,-z'
'-x,y,-z'
'x,-y,z'
loop_
_atom_site_label
_atom_site_fract_x
_atom_site_fract_y
_atom_site_fract_z
Na1 0.0000 0.2377 0.0000
Pa1 0.5000 0.5000 0.5000
Sn1 0.5000 0.0000 0.5000
Cl1 0.2053 0.0000 0.1929
Cl2 0.2136 0.5000 0.2015
Cl3 0.3054 0.2721 0.6813
```

## Properties
Crystal system: monoclinic
E_tot, eV/atom: -4.20

Entry 7:
Crystalline Na2SrPaCl8 at its relaxed geometry, computed with GGA-PBE.

Geometry as CIF:
```
data_Na2SrPaCl8
_space_group_name_H-M_alt 'P 1 2/m 1'
_space_group_IT_number 10
_cell_length_a 6.5850
_cell_length_b 8.7099
_cell_length_c 6.6715
_cell_angle_alpha 90.00
_cell_angle_beta 92.62
_cell_angle_gamma 90.00
loop_
_space_group_symop_operation_xyz
'x,y,z'
'-x,-y,-z'
'-x,y,-z'
'x,-y,z'
loop_
_atom_site_label
_atom_site_fract_x
_atom_site_fract_y
_atom_site_fract_z
Na1 0.0000 0.2350 0.0000
Sr1 0.5000 0.0000 0.5000
Pa1 0.5000 0.5000 0.5000
Cl1 0.2049 0.0000 0.1862
Cl2 0.2216 0.5000 0.2010
Cl3 0.2993 0.2749 0.6781
```

## Properties
Crystal system: monoclinic
E_tot, eV/atom: -4.37

Entry 8:
Crystalline Na2PaTlCl8 at its relaxed geometry, computed with GGA-PBE.

Geometry as CIF:
```
data_Na2PaTlCl8
_space_group_name_H-M_alt 'P -1'
_space_group_IT_number 2
_cell_length_a 6.5954
_cell_length_b 6.8053
_cell_length_c 9.4752
_cell_angle_alpha 84.23
_cell_angle_beta 84.68
_cell_angle_gamma 86.51
loop_
_space_group_symop_operation_xyz
'x,y,z'
'-x,-y,-z'
loop_
_atom_site_label
_atom_site_fract_x
_atom_site_fract_y
_atom_site_fract_z
Na1 0.0558 0.0441 0.3057
Pa1 0.5000 0.5000 0.0000
Tl1 0.5000 0.5000 0.5000
Cl1 0.1962 0.1814 0.5262
Cl2 0.2608 0.2131 0.0330
Cl3 0.2794 0.6708 0.1940
Cl4 0.2867 0.6756 0.8072
```

## Properties
Crystal system: triclinic
E_tot, eV/atom: -4.10

Entry 9:
Crystalline NaPbCl2 at its relaxed geometry, computed with GGA-PBE.

Geometry as CIF:
```
data_NaPbCl2
_space_group_name_H-M_alt 'F m -3 m'
_space_group_IT_number 225
_space_group_name_Hall '-F 4 2 3'
_cell_length_a 7.4214
_cell_length_b 7.4214
_cell_length_c 7.4214
_cell_angle_alpha 90.00
_cell_angle_beta 90.00
_cell_angle_gamma 90.00
loop_
_atom_site_label
_atom_site_fract_x
_atom_site_fract_y
_atom_site_fract_z
Na1 0.0000 0.0000 0.0000
Pb1 0.0000 0.0000 0.5000
Cl1 0.2500 0.2500 0.2500
```

## Properties
Crystal system: cubic
E_tot, eV/atom: -3.07
Energy above the most stable polymorph in this dataset, meV/atom: 86.7

Entry 10:
Crystalline NaPbCl3 at its relaxed geometry, computed with GGA-PBE.

Geometry as CIF:
```
data_NaPbCl3
_space_group_name_H-M_alt 'P m -3 m'
_space_group_IT_number 221
_space_group_name_Hall '-P 4 2 3'
_cell_length_a 5.0536
_cell_length_b 5.0536
_cell_length_c 5.0536
_cell_angle_alpha 90.00
_cell_angle_beta 90.00
_cell_angle_gamma 90.00
loop_
_atom_site_label
_atom_site_fract_x
_atom_site_fract_y
_atom_site_fract_z
Na1 0.0000 0.0000 0.0000
Pb1 0.5000 0.5000 0.5000
Cl1 0.0000 0.0000 0.5000
```

## Properties
Crystal system: cubic
E_tot, eV/atom: -3.17

Entry 11:
Crystalline NaPbCl3 at its relaxed geometry, computed with GGA-PBE.

Geometry as CIF:
```
data_NaPbCl3
_space_group_name_H-M_alt 'P m -3 m'
_space_group_IT_number 221
_space_group_name_Hall '-P 4 2 3'
_cell_length_a 5.6678
_cell_length_b 5.6678
_cell_length_c 5.6678
_cell_angle_alpha 90.00
_cell_angle_beta 90.00
_cell_angle_gamma 90.00
loop_
_atom_site_label
_atom_site_fract_x
_atom_site_fract_y
_atom_site_fract_z
Na1 0.0000 0.0000 0.0000
Pb1 0.5000 0.5000 0.5000
Cl1 0.0000 0.5000 0.5000
```

## Properties
Crystal system: cubic
E_tot, eV/atom: -3.32

Entry 12:
Crystalline NaPbCl4 at its relaxed geometry, computed with GGA-PBE.

Geometry as CIF:
```
data_NaPbCl4
_space_group_name_H-M_alt 'P 1 21/c 1'
_space_group_IT_number 14
_cell_length_a 7.6984
_cell_length_b 6.5362
_cell_length_c 7.8957
_cell_angle_alpha 90.00
_cell_angle_beta 114.70
_cell_angle_gamma 90.00
loop_
_space_group_symop_operation_xyz
'x,y,z'
'-x,-y,-z'
'-x,y+1/2,-z+1/2'
'x,-y+1/2,z+1/2'
loop_
_atom_site_label
_atom_site_fract_x
_atom_site_fract_y
_atom_site_fract_z
Na1 0.0000 0.0000 0.0000
Pb1 0.5000 0.0000 0.5000
Cl1 0.1653 0.1963 0.3490
Cl2 0.3508 0.7426 0.6857
```

## Properties
Crystal system: monoclinic
E_tot, eV/atom: -3.18
Energy above the most stable polymorph in this dataset, meV/atom: 0.0

Entry 13:
Crystalline Na2Pb2Cl at its relaxed geometry, computed with GGA-PBE.

Geometry as CIF:
```
data_Na2Pb2Cl
_space_group_name_H-M_alt 'P 4/m b m'
_space_group_IT_number 127
_space_group_name_Hall '-P 4 2ab'
_cell_length_a 7.0000
_cell_length_b 7.0000
_cell_length_c 6.1664
_cell_angle_alpha 90.00
_cell_angle_beta 90.00
_cell_angle_gamma 90.00
loop_
_atom_site_label
_atom_site_fract_x
_atom_site_fract_y
_atom_site_fract_z
Na1 0.1643 0.3357 0.0000
Pb1 0.1536 0.6536 0.5000
Cl1 0.0000 0.0000 0.0000
```

## Properties
Crystal system: tetragonal
E_tot, eV/atom: -2.84

Entry 14:
Crystalline NaPbCl2 at its relaxed geometry, computed with GGA-PBE.

Geometry as CIF:
```
data_NaPbCl2
_space_group_name_H-M_alt 'I -4 2 d'
_space_group_IT_number 122
_space_group_name_Hall 'I -4 2bw'
_cell_length_a 7.6855
_cell_length_b 7.6855
_cell_length_c 7.9280
_cell_angle_alpha 90.00
_cell_angle_beta 90.00
_cell_angle_gamma 90.00
loop_
_atom_site_label
_atom_site_fract_x
_atom_site_fract_y
_atom_site_fract_z
Na1 0.0000 0.0000 0.0000
Pb1 0.0000 0.0000 0.5000
Cl1 0.2224 0.7500 0.1250
```

## Properties
Crystal system: tetragonal
E_tot, eV/atom: -3.16
Energy above the most stable polymorph in this dataset, meV/atom: 0.0

Entry 15:
Crystalline Na3PbCl at its relaxed geometry, computed with GGA-PBE.

Geometry as CIF:
```
data_Na3PbCl
_space_group_name_H-M_alt 'P m -3 m'
_space_group_IT_number 221
_space_group_name_Hall '-P 4 2 3'
_cell_length_a 6.0159
_cell_length_b 6.0159
_cell_length_c 6.0159
_cell_angle_alpha 90.00
_cell_angle_beta 90.00
_cell_angle_gamma 90.00
loop_
_atom_site_label
_atom_site_fract_x
_atom_site_fract_y
_atom_site_fract_z
Na1 0.0000 0.0000 0.5000
Pb1 0.0000 0.0000 0.0000
Cl1 0.5000 0.5000 0.5000
```

## Properties
Crystal system: cubic
E_tot, eV/atom: -2.07
Energy above the most stable polymorph in this dataset, meV/atom: 445.2

Entry 16:
Crystalline Na3PbCl6 at its relaxed geometry, computed with GGA-PBE.

Geometry as CIF:
```
data_Na3PbCl6
_space_group_name_H-M_alt 'P 1 21/c 1'
_space_group_IT_number 14
_cell_length_a 7.0324
_cell_length_b 7.4007
_cell_length_c 12.3820
_cell_angle_alpha 90.00
_cell_angle_beta 122.89
_cell_angle_gamma 90.00
loop_
_space_group_symop_operation_xyz
'x,y,z'
'-x,-y,-z'
'-x,y+1/2,-z+1/2'
'x,-y+1/2,z+1/2'
loop_
_atom_site_label
_atom_site_fract_x
_atom_site_fract_y
_atom_site_fract_z
Na1 0.0000 0.0000 0.0000
Na2 0.2028 0.0694 0.7214
Pb1 0.5000 0.0000 0.5000
Cl1 0.1219 0.1808 0.4472
Cl2 0.2262 0.6979 0.4046
Cl3 0.4051 0.0843 0.2594
```

## Properties
Crystal system: monoclinic
E_tot, eV/atom: -3.25
Energy above the most stable polymorph in this dataset, meV/atom: 25.9

Entry 17:
Crystalline Na2PbCl5 at its relaxed geometry, computed with GGA-PBE.

Geometry as CIF:
```
data_Na2PbCl5
_space_group_name_H-M_alt 'C m c m'
_space_group_IT_number 63
_space_group_name_Hall '-C 2c 2'
_cell_length_a 5.5043
_cell_length_b 13.8716
_cell_length_c 13.3790
_cell_angle_alpha 90.00
_cell_angle_beta 90.00
_cell_angle_gamma 90.00
loop_
_atom_site_label
_atom_site_fract_x
_atom_site_fract_y
_atom_site_fract_z
Na1 0.0000 0.1562 0.0661
Pb1 0.0000 0.1801 0.7500
Cl1 0.0000 0.0462 0.6083
Cl2 0.0000 0.2813 0.2500
Cl3 0.0000 0.3089 0.5904
```

## Properties
Crystal system: orthorhombic
E_tot, eV/atom: -3.23

Entry 18:
Crystalline Na2PbCl6 at its relaxed geometry, computed with GGA-PBE.

Geometry as CIF:
```
data_Na2PbCl6
_space_group_name_H-M_alt 'P 1 21/c 1'
_space_group_IT_number 14
_cell_length_a 7.0079
_cell_length_b 6.7171
_cell_length_c 13.4389
_cell_angle_alpha 90.00
_cell_angle_beta 121.19
_cell_angle_gamma 90.00
loop_
_space_group_symop_operation_xyz
'x,y,z'
'-x,-y,-z'
'-x,y+1/2,-z+1/2'
'x,-y+1/2,z+1/2'
loop_
_atom_site_label
_atom_site_fract_x
_atom_site_fract_y
_atom_site_fract_z
Na1 0.1829 0.0010 0.1857
Pb1 0.5000 0.0000 0.0000
Cl1 0.1845 0.7262 0.3472
Cl2 0.1974 0.2153 0.9985
Cl3 0.4936 0.2088 0.8365
```

## Properties
Crystal system: monoclinic
E_tot, eV/atom: -3.11
Energy above the most stable polymorph in this dataset, meV/atom: 0.0

Entry 19:
Crystalline NaPb2Cl8 at its relaxed geometry, computed with GGA-PBE.

Geometry as CIF:
```
data_NaPb2Cl8
_space_group_name_H-M_alt 'C 1 2/m 1'
_space_group_IT_number 12
_cell_length_a 13.2818
_cell_length_b 10.0212
_cell_length_c 6.6594
_cell_angle_alpha 90.00
_cell_angle_beta 103.30
_cell_angle_gamma 90.00
loop_
_space_group_symop_operation_xyz
'x,y,z'
'-x,-y,-z'
'-x,y,-z'
'x,-y,z'
'x+1/2,y+1/2,z'
'-x+1/2,-y+1/2,-z'
'-x+1/2,y+1/2,-z'
'x+1/2,-y+1/2,z'
loop_
_atom_site_label
_atom_site_fract_x
_atom_site_fract_y
_atom_site_fract_z
Na1 0.0000 0.0000 0.0000
Pb1 0.2138 0.0000 0.6969
Cl1 0.0987 0.5000 0.1226
Cl2 0.1066 0.1874 0.7890
Cl3 0.1920 0.0000 0.3099
```

## Properties
Crystal system: monoclinic
E_tot, eV/atom: -2.98

Entry 20:
Crystalline Na3PbCl at its relaxed geometry, computed with GGA-PBE.

Geometry as CIF:
```
data_Na3PbCl
_space_group_name_H-M_alt 'P m -3 m'
_space_group_IT_number 221
_space_group_name_Hall '-P 4 2 3'
_cell_length_a 5.3235
_cell_length_b 5.3235
_cell_length_c 5.3235
_cell_angle_alpha 90.00
_cell_angle_beta 90.00
_cell_angle_gamma 90.00
loop_
_atom_site_label
_atom_site_fract_x
_atom_site_fract_y
_atom_site_fract_z
Na1 0.0000 0.0000 0.5000
Pb1 0.5000 0.5000 0.5000
Cl1 0.0000 0.0000 0.0000
```

## Properties
Crystal system: cubic
E_tot, eV/atom: -2.52
Energy above the most stable polymorph in this dataset, meV/atom: 0.0

How do the records compare in formation energy (no corrections)? In the order shown, they have -42.938 -42.732 -42.043 -38.423 -44.858 -37.555 -45.877 -38.199 -20.571 -24.268 -27.769 -25.698 -10.618 -22.570 -3.932 -31.726 -29.610 -26.975 -19.363 -14.199 kcal/mol of atoms.